This record from the Alexandria database describes a relaxed structure of InSn3Se. The functional is PBE.

Cell: 5.562 5.562 5.562 Å, 90.00 90.00 90.00°
Element x y z (fractional)
In 0.000 0.000 0.000
Sn 0.000 0.500 0.500
Sn 0.500 0.000 0.500
Sn 0.500 0.500 0.000
Se 0.500 0.500 0.500

Calculated values
Space group: Pm-3m (221)
Raw formation energy: 0.330 eV/atom

This record from the Alexandria database describes a relaxed structure of YZrCdCu. The functional is PBE.

Cell: 4.980 4.980 4.980 Å, 60.00 60.00 60.00°
Element x y z (fractional)
Y 0.000 0.000 0.000
Zr 0.500 0.500 0.500
Cd 0.250 0.250 0.250
Cu 0.750 0.750 0.750

Calculated values
Space group: F-43m (216)
E_tot: -0.3731 Ry/atom

This record from the Alexandria database describes a relaxed structure of Al2AsP. The functional is PBE.

Cell: 4.535 4.535 4.535 Å, 60.00 60.00 60.00°
Element x y z (fractional)
Al 0.250 0.250 0.250
Al 0.750 0.750 0.750
As 0.000 0.000 0.000
P 0.500 0.500 0.500

Calculated values
Space group: Fm-3m (225)
E_tot: -0.3115 Ry/atom

This record from the Alexandria database describes a relaxed structure of Li3BeSi. The functional is PBE.

Cell: 4.339 4.339 4.339 Å, 90.00 90.00 90.00°
Element x y z (fractional)
Li 0.000 0.000 0.500
Li 0.000 0.500 0.000
Li 0.500 0.000 0.000
Be 0.000 0.000 0.000
Si 0.500 0.500 0.500

Calculated values
Space group: Pm-3m (221)
Raw formation energy: 0.594 eV/atom

This record from the Alexandria database describes a relaxed structure of Sm12AlGa6. The functional is PBE.

Cell: 8.853 8.853 8.853 Å, 108.37 108.37 108.37°
Element x y z (fractional)
Sm 0.052 0.138 0.380
Sm 0.138 0.380 0.052
Sm 0.188 0.637 0.489
Sm 0.363 0.511 0.812
Sm 0.380 0.052 0.138
Sm 0.489 0.188 0.637
Sm 0.511 0.812 0.363
Sm 0.620 0.948 0.862
Sm 0.637 0.489 0.188
Sm 0.812 0.363 0.511
Sm 0.862 0.620 0.948
Sm 0.948 0.862 0.620
Al 0.500 0.500 0.500
Ga 0.140 0.697 0.825
Ga 0.175 0.860 0.303
Ga 0.303 0.175 0.860
Ga 0.697 0.825 0.140
Ga 0.825 0.140 0.697
Ga 0.860 0.303 0.175

Calculated values
Space group: R-3 (148)
E_tot: -0.3194 Ry/atom

This record from the Alexandria database describes a relaxed structure of Ag2Sb2S3. The functional is PBE.

Cell: 6.606 6.606 6.935 Å, 104.70 104.70 33.47°
Element x y z (fractional)
Ag 0.075 0.075 0.190
Ag 0.925 0.925 0.810
Sb 0.382 0.382 0.184
Sb 0.618 0.618 0.816
S 0.000 0.000 0.500
S 0.277 0.277 0.799
S 0.723 0.723 0.201

Calculated values
Space group: C2/m (12)
Raw formation energy: -0.009 eV/atom

This record from the Alexandria database describes a relaxed structure of Ca2ZrCl. The functional is PBE.

Cell: 9.892 9.892 9.892 Å, 20.94 20.94 20.94°
Element x y z (fractional)
Ca 0.241 0.241 0.241
Ca 0.759 0.759 0.759
Zr 0.000 0.000 0.000
Cl 0.500 0.500 0.500

Calculated values
Space group: R-3m (166)
Raw formation energy: -0.627 eV/atom

This record from the Alexandria database describes a relaxed structure of RbLaBrF2. The functional is PBE.

Cell: 4.742 4.742 7.216 Å, 90.00 90.00 90.00°
Element x y z (fractional)
Rb 0.000 0.000 0.000
La 0.500 0.500 0.500
Br 0.500 0.500 0.000
F 0.000 0.500 0.500
F 0.500 0.000 0.500

Calculated values
Space group: P4/mmm (123)
Raw formation energy: -2.619 eV/atom

Q: Which formula does entry 5 have?
A: Sm12AlGa6